Entry 1:
Crystalline PPdSe2Br at its relaxed geometry, computed with PBE.

The structure belongs to space group P4/mmm (No. 123); the cell edges are 4.861, 4.861 and 4.938 Å and the angles 90.00°, 90.00° and 90.00°. The asymmetric unit holds P at (0.000, 0.000, 0.000), Pd at (0.500, 0.500, 0.500), Se at (0.000, 0.500, 0.000) and Br at (0.000, 0.000, 0.500).

For the energy relative to the elements, uncorrected, the calculation gives 645 meV/atom. Its energy above the lowest structure with this stoichiometry is 0.00 kcal/mol of atoms.

Entry 2:
Crystalline Cr2SbOs at its relaxed geometry, computed with PBE.

The structure belongs to space group R3m (No. 160, hexagonal axes); the cell edges are 2.9223, 2.9223 and 24.5254 Å and the angles 90.00°, 90.00° and 120.00°. The asymmetric unit holds Cr at (0.0000, 0.0000, 0.0000), Cr at (0.0000, 0.0000, 0.2641), Sb at (0.0000, 0.0000, 0.5088) and Os at (0.0000, 0.0000, 0.7469).

For the energy relative to the elements, uncorrected, the calculation gives 566 meV/atom.